# meta-GGA SCAN AsC, single point on PBEsol structure
data_AsC
_chemical_formula_sum 'As2 C2'
_space_group_name_H-M_alt 'P 1'
_space_group_IT_number 1
_cell_length_a 2.620
_cell_length_b 3.122
_cell_length_c 6.784
_cell_angle_alpha 103.30
_cell_angle_beta 90.00
_cell_angle_gamma 90.00
loop_
_space_group_symop_operation_xyz
'x,y,z'
loop_
_atom_site_label
_atom_site_fract_x
_atom_site_fract_y
_atom_site_fract_z
_atom_site_occupancy
As1 0.750 0.132 0.264 1
As2 0.250 0.868 0.736 1
C1 0.750 0.530 0.060 1
C2 0.250 0.470 0.940 1
# total moment	0.00	μB/cell
# density	5.3	g/cm³
# calculated volume	13.5	Å³ per atom
# final energy	-58.494	eV for the cell shown
# ΔH_f (0 K)	0.522	eV per atom
# offset from the most stable computed form	0	meV per atom
# Fermi-level density of states	0.50	states/eV/cell